Entry 1:
DFT (GGA-PBE) results for a relaxed TaCrAs2 crystal.

As for the formation energy: -0.1 eV per formula unit. The density of states at the Fermi level comes out at 3.05 states/eV/cell. The calculation puts the total energy at -7.7114 eV per atom.

The structure in POSCAR format:
```
TaCrAs2
1.0
0.0000 3.1604 3.1604
3.1604 0.0000 3.1604
3.1604 3.1604 0.0000
Cr As Ta
1 2 1
Cartesian
0.0000 0.0000 0.0000
1.5802 1.5802 1.5802
4.7406 4.7406 4.7406
3.1604 3.1604 3.1604
```

---

Entry 2:
DFT (GGA-PBE) results for a relaxed TbTmPuTh crystal.

As for the formation energy: 0.8 eV per formula unit. The density of states at the Fermi level comes out at 11.24 states/eV/cell. The calculation puts the total energy at -7.5033 eV per atom.

The structure in POSCAR format:
```
TbTmPuTh
1.0
5.5570 0.0000 0.0000
2.7785 4.8125 0.0000
2.7785 1.6042 4.5373
Tm Tb Th Pu
1 1 1 1
Cartesian
2.7785 1.6042 1.1343
0.0000 0.0000 0.0000
8.3355 4.8125 3.4030
5.5570 3.2083 2.2686
```

---

Entry 3:
DFT (GGA-PBE) results for a relaxed SmGa2Tc2Ge crystal.

As for the formation energy: -0.7 eV per formula unit. The density of states at the Fermi level comes out at 4.40 states/eV/cell. The calculation puts the total energy at -6.1325 eV per atom.

The structure in POSCAR format:
```
SmGa2Tc2Ge
1.0
4.6091 0.0000 0.0000
0.0000 4.6091 0.0000
0.0000 0.0000 5.6215
Sm Ga Tc Ge
1 2 2 1
Cartesian
0.0000 0.0000 2.8107
2.3046 2.3046 4.1635
2.3046 2.3046 1.4580
2.3046 0.0000 0.0000
0.0000 2.3046 0.0000
0.0000 0.0000 0.0000
```

---

Entry 4:
DFT (GGA-PBE) results for a relaxed ZrHgH crystal.

The density of states at the Fermi level comes out at 3.42 states/eV/cell. The calculation puts the total energy at -4.3521 eV per atom.

The structure in POSCAR format:
```
ZrHgH
1.0
-0.6014 -3.1947 -0.6205
1.1214 1.6021 -2.6698
9.2011 -1.5052 2.1827
H Hg Zr
2 2 2
Cartesian
4.9187 -3.4549 0.3779
4.8023 0.3572 -1.4855
1.6724 -0.2381 -1.6918
8.0486 -2.8596 0.5842
3.2097 -2.5250 -0.3422
6.5112 -0.5727 -0.7654
```

---

Entry 5:
DFT (GGA-PBE) results for a relaxed SrNdAu4 crystal.

As for the formation energy: -4.5 eV per formula unit. The density of states at the Fermi level comes out at 3.01 states/eV/cell. The calculation puts the total energy at -4.0129 eV per atom.

The structure in POSCAR format:
```
SrNdAu4
1.0
-1.4452 3.0942 1.5710
1.8195 -1.3704 4.3712
6.8185 3.9909 -1.5874
Sr Nd Au
1 1 4
Cartesian
6.2676 6.3916 2.1580
3.7680 3.7114 5.1374
2.2734 0.8662 4.8679
6.7081 3.4615 3.8356
4.7326 3.5240 1.8984
2.4288 2.1751 2.4345
```

---

Entry 6:
DFT (GGA-PBE) results for a relaxed TbZrNpO6 crystal.

Its energy relative to the elements, uncorrected is -3.088 eV/atom. The density of states at the Fermi level comes out at 13.74 states/eV/cell. The calculation puts the total energy at -9.2956 eV per atom.

The structure in POSCAR format:
```
TbZrNpO6
1.0
5.6679 0.0000 0.0000
-2.8340 4.9085 0.0000
0.0000 0.0000 9.1624
Tb Zr Np O
2 2 2 12
Cartesian
0.0000 3.2724 2.2906
2.8340 1.6362 6.8718
0.0000 0.0000 0.0000
0.0000 0.0000 4.5812
2.8340 1.6362 2.2906
0.0000 3.2724 6.8718
2.0096 3.2769 1.1658
4.6670 1.5297 1.1658
-1.0087 4.8067 5.7470
-1.8331 3.3788 7.9966
1.0009 1.5297 3.4154
3.6583 3.2769 3.4154
1.0087 4.8067 7.9966
3.8427 0.1019 3.4154
-0.8244 1.6316 5.7470
1.8252 0.1019 1.1658
1.8331 3.3788 5.7470
0.8244 1.6316 7.9966
```

---

Entry 7:
DFT (GGA-PBE) results for a relaxed Zn2NiGe2 crystal.

As for the formation energy: 0.5 eV per formula unit. The density of states at the Fermi level comes out at 2.94 states/eV/cell. The calculation puts the total energy at -3.4184 eV per atom.

The structure in POSCAR format:
```
Zn2NiGe2
1.0
6.1993 0.0000 0.0000
0.0000 6.1993 0.0000
0.0000 0.0000 4.2566
Ni Ge Zn
2 4 4
Cartesian
0.0000 0.0000 0.0000
3.0996 3.0996 0.0000
2.1801 5.2798 0.0000
5.2798 4.0191 0.0000
4.0191 0.9195 0.0000
0.9195 2.1801 0.0000
1.0538 4.1534 2.1283
4.1534 5.1455 2.1283
5.1455 2.0458 2.1283
2.0458 1.0538 2.1283
```

---

Entry 8:
DFT (GGA-PBE) results for a relaxed AcSm4Y5 crystal.

As for the formation energy: 0.3 eV per formula unit. The density of states at the Fermi level comes out at 15.25 states/eV/cell. The calculation puts the total energy at -5.4998 eV per atom.

The structure in POSCAR format:
```
AcSm4Y5
1.0
3.6538 0.0000 0.0000
0.0000 3.6538 0.0000
0.0000 0.0000 25.4535
Ac Sm Y
1 4 5
Cartesian
0.0000 0.0000 0.0000
0.0000 0.0000 5.2211
0.0000 0.0000 10.2256
0.0000 0.0000 15.2279
0.0000 0.0000 20.2324
1.8269 1.8269 2.7385
1.8269 1.8269 7.7298
1.8269 1.8269 12.7268
1.8269 1.8269 17.7237
1.8269 1.8269 22.7150
```

---

> Number 1 is which compound?

TaCrAs2

---

> Which formula does entry 2 have?

TbTmPuTh